# RbLaGeO4

RbLaGeO4 after structural relaxation (PBE, Alexandria).

```
RbLaGeO4
1.0
6.0570 0.0000 0.0000
0.0000 5.9922 0.0000
-2.1201 0.0000 7.4867
Rb La Ge O
2 2 2 8
Cartesian
0.2479 1.4981 3.1715
3.6891 4.4942 4.3152
-0.3092 1.4981 7.1199
4.2461 4.4942 0.3668
1.1612 4.4942 1.2383
2.7757 1.4981 6.2484
-1.6244 4.4942 7.0642
-0.2605 4.4942 2.2848
2.3058 3.1198 1.3605
2.3058 5.8686 1.3605
1.6311 0.1237 6.1262
1.6311 2.8725 6.1262
4.1975 1.4981 5.2019
5.5613 1.4981 0.4225
```

Calculated values
The value obtained for the total energy is -6.705 eV/atom. Its space-group type is No. 11. Its formation energy (no corrections) is -2370 meV/atom. For the calculated volume, the calculation gives 271.73 Å³/cell. The size of the total moment comes out at 0.00 μB/f.u.